First-principles (PBE-GGA) data for crystalline La2CdCoBi at its relaxed geometry, as listed in the Alexandria database.

Total energy = -24.2 eV per cell
Formation enthalpy at 0 K = -0.482 eV per atom
Mass density = 7.85 g cm⁻³
D(E_F) = 2.430 states/eV/f.u.

abc: 5.2632 5.2632 5.0231
angles: 90.00 90.00 90.00
Last column: nearest neighbours and their distance in Å.
Atoms (fractional coordinates):
1 Cd 0.0000 0.0000 0.5000  2 Co 2.51
2 Co 0.0000 0.0000 0.0000  2 Cd 2.51, 4 La 2.63
3 Bi 0.5000 0.5000 0.5000  8 La 3.64, 4 Cd 3.72
4 La 0.0000 0.5000 0.0000  2 Co 2.63
5 La 0.5000 0.0000 0.0000  2 Co 2.63

---

First-principles (PBE-GGA) data for crystalline La4CdCoBi at its relaxed geometry, as listed in the Alexandria database.

Total energy = -68.9 eV per cell
Formation enthalpy at 0 K = -0.405 eV per atom
Mass density = 6.88 g cm⁻³
D(E_F) = 6.023 states/eV/f.u.

abc: 7.2337 7.1797 9.4236
angles: 90.00 112.57 90.00
Last column: nearest neighbours and their distance in Å.
Atoms (fractional coordinates):
1 La 0.9261 0.2500 0.8521  1 Co 2.99, 1 Cd 3.26
2 La 0.4213 0.7500 0.8425  1 Co 3.06, 1 Bi 3.26
3 La 0.0739 0.7500 0.1479  1 Co 2.99, 1 Cd 3.26
4 La 0.5787 0.2500 0.1575  1 Co 3.06, 1 Bi 3.26
5 La 0.5000 0.5000 0.5000  2 Co 2.55
6 La 0.0000 0.0000 0.5000  2 Co 2.55
7 La 0.5000 0.0000 0.5000  2 Co 2.55
8 La 0.0000 0.5000 0.5000  2 Co 2.55
9 Cd 0.1132 0.2500 0.2263  5 La 3.26-3.49
10 Cd 0.8868 0.7500 0.7737  5 La 3.26-3.49
11 Co 0.2456 0.7500 0.4913  4 La 2.55
12 Co 0.7544 0.2500 0.5087  4 La 2.55
13 Bi 0.6088 0.7500 0.2177  7 La 3.26-3.63
14 Bi 0.3912 0.2500 0.7823  7 La 3.26-3.63

---

First-principles (PBE-GGA) data for crystalline LiCdCoBi2 at its relaxed geometry, as listed in the Alexandria database.

Total energy = -16.7 eV per cell
Formation enthalpy at 0 K = 0.194 eV per atom
Mass density = 8.02 g cm⁻³
D(E_F) = 2.638 states/eV/f.u.

abc: 5.0354 4.8695 5.0354
angles: 90.00 90.00 90.00
Last column: nearest neighbours and their distance in Å.
Atoms (fractional coordinates):
1 Li 0.0000 0.5000 0.0000  2 Co 2.43
2 Co 0.0000 0.0000 0.0000  2 Li 2.43, 4 Bi 2.52
3 Bi 0.0000 0.0000 0.5000  2 Co 2.52
4 Bi 0.5000 0.0000 0.0000  2 Co 2.52
5 Cd 0.5000 0.5000 0.5000  8 Bi 3.50, 4 Li 3.56

---

First-principles (PBE-GGA) data for crystalline CdCo2BiMo at its relaxed geometry, as listed in the Alexandria database.

Total energy = -23.8 eV per cell
Formation enthalpy at 0 K = 1.204 eV per atom
Mass density = 8.32 g cm⁻³
D(E_F) = 7.134 states/eV/f.u.

abc: 4.5034 5.2656 4.5034
angles: 90.00 90.00 90.00
Last column: nearest neighbours and their distance in Å.
Atoms (fractional coordinates):
1 Mo 0.0000 0.0000 0.0000  4 Co 2.25
2 Co 0.0000 0.0000 0.5000  2 Mo 2.25
3 Co 0.5000 0.0000 0.0000  2 Mo 2.25
4 Bi 0.5000 0.5000 0.5000  4 Cd 3.18, 8 Co 3.46
5 Cd 0.0000 0.5000 0.0000  2 Mo 2.63

---

First-principles (PBE-GGA) data for crystalline NaCd2CoBi at its relaxed geometry, as listed in the Alexandria database.

Total energy = -13.7 eV per cell
Formation enthalpy at 0 K = 0.084 eV per atom
Mass density = 6.67 g cm⁻³
D(E_F) = 3.275 states/eV/f.u.

abc: 5.1121 5.1121 4.9106
angles: 90.00 90.00 90.00
Last column: nearest neighbours and their distance in Å.
Atoms (fractional coordinates):
1 Na 0.5000 0.5000 0.5000  8 Cd 3.54, 4 Bi 3.61
2 Co 0.0000 0.0000 0.0000  2 Bi 2.46, 4 Cd 2.56
3 Bi 0.0000 0.0000 0.5000  2 Co 2.46
4 Cd 0.0000 0.5000 0.0000  2 Co 2.56
5 Cd 0.5000 0.0000 0.0000  2 Co 2.56

---

First-principles (PBE-GGA) data for crystalline CdCoNiBi2 at its relaxed geometry, as listed in the Alexandria database.

Total energy = -18.3 eV per cell
Formation enthalpy at 0 K = 0.652 eV per atom
Mass density = 8.89 g cm⁻³
D(E_F) = 4.980 states/eV/f.u.

abc: 4.9446 4.9489 4.9446
angles: 90.00 90.00 90.00
Last column: nearest neighbours and their distance in Å.
Atoms (fractional coordinates):
1 Ni 0.5000 0.5000 0.5000  4 Cd 3.50, 8 Bi 3.50
2 Co 0.0000 0.0000 0.0000  4 Bi 2.47, 2 Cd 2.47
3 Bi 0.0000 0.0000 0.5000  2 Co 2.47
4 Bi 0.5000 0.0000 0.0000  2 Co 2.47
5 Cd 0.0000 0.5000 0.0000  2 Co 2.47

---

First-principles (PBE-GGA) data for crystalline CdCoSi2Bi at its relaxed geometry, as listed in the Alexandria database.

Total energy = -14.9 eV per cell
ΔE_f (raw) = 1.566 eV/atom
Mass density = 5.24 g cm⁻³
D(E_F) = 8.397 states/eV/f.u.

abc: 4.8989 5.7655 4.8989
angles: 90.00 90.00 90.00
Last column: nearest neighbours and their distance in Å.
Atoms (fractional coordinates):
1 Si 0.0000 0.0000 0.5000  2 Cd 2.45
2 Si 0.5000 0.0000 0.0000  2 Cd 2.45
3 Co 0.5000 0.5000 0.5000  4 Bi 3.46, 8 Si 3.78
4 Bi 0.0000 0.5000 0.0000  2 Cd 2.88
5 Cd 0.0000 0.0000 0.0000  4 Si 2.45

---

First-principles (PBE-GGA) data for crystalline CdCo2TcBi at its relaxed geometry, as listed in the Alexandria database.

Total energy = -21.3 eV per cell
Formation enthalpy at 0 K = 1.607 eV per atom
Mass density = 7.95 g cm⁻³
D(E_F) = 8.444 states/eV/f.u.

abc: 4.7084 5.0639 4.7084
angles: 90.00 90.00 90.00
Last column: nearest neighbours and their distance in Å.
Atoms (fractional coordinates):
1 Tc 0.0000 0.5000 0.0000  2 Cd 2.53
2 Co 0.0000 0.0000 0.5000  2 Cd 2.35
3 Co 0.5000 0.0000 0.0000  2 Cd 2.35
4 Bi 0.5000 0.5000 0.5000  4 Tc 3.33, 8 Co 3.46
5 Cd 0.0000 0.0000 0.0000  4 Co 2.35, 2 Tc 2.53

---

First-principles (PBE-GGA) data for crystalline Cd2CoTcBi at its relaxed geometry, as listed in the Alexandria database.

Total energy = -15.0 eV per cell
Formation enthalpy at 0 K = 1.631 eV per atom
Mass density = 6.55 g cm⁻³
D(E_F) = 4.144 states/eV/f.u.

abc: 5.5907 4.7941 5.5907
angles: 90.00 90.00 90.00
Last column: nearest neighbours and their distance in Å.
Atoms (fractional coordinates):
1 Tc 0.5000 0.5000 0.5000  8 Cd 3.68, 4 Co 3.95
2 Co 0.0000 0.5000 0.0000  2 Bi 2.40
3 Bi 0.0000 0.0000 0.0000  2 Co 2.40
4 Cd 0.0000 0.0000 0.5000  2 Bi 2.80
5 Cd 0.5000 0.0000 0.0000  2 Bi 2.80

---

First-principles (PBE-GGA) data for crystalline TlCd2CoBi at its relaxed geometry, as listed in the Alexandria database.

Total energy = -14.3 eV per cell
Formation enthalpy at 0 K = 0.176 eV per atom
Mass density = 8.91 g cm⁻³
D(E_F) = 3.223 states/eV/f.u.

abc: 5.1573 5.1573 4.8867
angles: 90.00 90.00 90.00
Last column: nearest neighbours and their distance in Å.
Atoms (fractional coordinates):
1 Tl 0.5000 0.5000 0.5000  8 Cd 3.55, 4 Bi 3.65
2 Co 0.0000 0.0000 0.0000  2 Bi 2.44, 4 Cd 2.58
3 Bi 0.0000 0.0000 0.5000  2 Co 2.44
4 Cd 0.0000 0.5000 0.0000  2 Co 2.58
5 Cd 0.5000 0.0000 0.0000  2 Co 2.58

---

First-principles (PBE-GGA) data for crystalline VCd2CoBi at its relaxed geometry, as listed in the Alexandria database.

Total energy = -17.2 eV per cell
Formation enthalpy at 0 K = 0.945 eV per atom
Mass density = 7.73 g cm⁻³
D(E_F) = 10.343 states/eV/f.u.

abc: 4.9243 4.8152 4.9243
angles: 90.00 90.00 90.00
Last column: nearest neighbours and their distance in Å.
Atoms (fractional coordinates):
1 V 0.5000 0.5000 0.5000  8 Cd 3.44, 4 Bi 3.48
2 Co 0.0000 0.0000 0.0000  2 Bi 2.41, 4 Cd 2.46
3 Bi 0.0000 0.5000 0.0000  2 Co 2.41
4 Cd 0.0000 0.0000 0.5000  2 Co 2.46
5 Cd 0.5000 0.0000 0.0000  2 Co 2.46

---

First-principles (PBE-GGA) data for crystalline YCdCoBi2 at its relaxed geometry, as listed in the Alexandria database.

Total energy = -22.1 eV per cell
Formation enthalpy at 0 K = 0.035 eV per atom
Mass density = 8.43 g cm⁻³
D(E_F) = 4.184 states/eV/f.u.

abc: 5.1066 5.1230 5.1066
angles: 90.00 90.00 90.00
Last column: nearest neighbours and their distance in Å.
Atoms (fractional coordinates):
1 Y 0.0000 0.5000 0.0000  2 Co 2.56
2 Co 0.0000 0.0000 0.0000  4 Bi 2.55, 2 Y 2.56
3 Bi 0.0000 0.0000 0.5000  2 Co 2.55
4 Bi 0.5000 0.0000 0.0000  2 Co 2.55
5 Cd 0.5000 0.5000 0.5000  4 Y 3.61, 8 Bi 3.62

---

First-principles (PBE-GGA) data for crystalline ZrCdCo2Bi at its relaxed geometry, as listed in the Alexandria database.

Total energy = -22.1 eV per cell
Formation enthalpy at 0 K = 1.100 eV per atom
Mass density = 7.46 g cm⁻³
D(E_F) = 4.609 states/eV/f.u.

abc: 4.6207 5.5272 4.6207
angles: 90.00 90.00 90.00
Last column: nearest neighbours and their distance in Å.
Atoms (fractional coordinates):
1 Co 0.0000 0.0000 0.5000  2 Zr 2.31
2 Co 0.5000 0.0000 0.0000  2 Zr 2.31
3 Bi 0.5000 0.5000 0.5000  4 Cd 3.27, 8 Co 3.60
4 Zr 0.0000 0.0000 0.0000  4 Co 2.31
5 Cd 0.0000 0.5000 0.0000  2 Zr 2.76

---

First-principles (PBE-GGA) data for crystalline CrCdBi3 at its relaxed geometry, as listed in the Alexandria database.

Total energy = -19.9 eV per cell
Distance to the lowest polymorph of the same formula = 0.0000 eV per atom
Formation enthalpy at 0 K = 0.454 eV per atom
Mass density = 8.88 g cm⁻³
D(E_F) = 4.360 states/eV/f.u.

abc: 5.2893 5.2893 5.2893
angles: 90.00 90.00 90.00
Last column: nearest neighbours and their distance in Å.
Atoms (fractional coordinates):
1 Cr 0.0000 0.0000 0.0000  6 Bi 2.64
2 Bi 0.0000 0.5000 0.0000  2 Cr 2.64
3 Bi 0.0000 0.0000 0.5000  2 Cr 2.64
4 Bi 0.5000 0.0000 0.0000  2 Cr 2.64
5 Cd 0.5000 0.5000 0.5000  12 Bi 3.74

---

First-principles (PBE-GGA) data for crystalline CrCd3Bi at its relaxed geometry, as listed in the Alexandria database.

Total energy = -13.0 eV per cell
Distance to the lowest polymorph of the same formula = 0.0000 eV per atom
Formation enthalpy at 0 K = 0.642 eV per atom
Mass density = 6.92 g cm⁻³
D(E_F) = 3.416 states/eV/f.u.

abc: 5.2361 5.2361 5.2361
angles: 90.00 90.00 90.00
Last column: nearest neighbours and their distance in Å.
Atoms (fractional coordinates):
1 Cr 0.0000 0.0000 0.0000  6 Cd 2.62
2 Bi 0.5000 0.5000 0.5000  12 Cd 3.70
3 Cd 0.0000 0.5000 0.0000  2 Cr 2.62
4 Cd 0.0000 0.0000 0.5000  2 Cr 2.62
5 Cd 0.5000 0.0000 0.0000  2 Cr 2.62

---

First-principles (PBE-GGA) data for crystalline CrCdBi2 at its relaxed geometry, as listed in the Alexandria database.

Total energy = -33.2 eV per cell
Formation enthalpy at 0 K = 0.424 eV per atom
Mass density = 8.32 g cm⁻³
D(E_F) = 1.778 states/eV/f.u.

abc: 4.8548 4.8548 10.4440
angles: 76.56 76.56 90.00
Last column: nearest neighbours and their distance in Å.
Atoms (fractional coordinates):
1 Cr 0.5000 0.5000 0.0000  4 Bi 2.97
2 Cr 0.2500 0.7500 0.5000  4 Bi 2.97
3 Bi 0.6042 0.1250 0.2500  2 Cr 2.97, 2 Cd 3.05, 2 Bi 3.29
4 Bi 0.1458 0.6250 0.2500  2 Cr 2.97, 2 Cd 3.05, 2 Bi 3.29
5 Bi 0.3750 0.3958 0.7500  2 Cr 2.97, 2 Cd 3.05, 2 Bi 3.29
6 Bi 0.8750 0.8542 0.7500  2 Cr 2.97, 2 Cd 3.05, 2 Bi 3.29
7 Cd 0.0000 0.0000 0.0000  4 Bi 3.05
8 Cd 0.7500 0.2500 0.5000  4 Bi 3.05